The following is a DFT calculation (PBE+U) of NiP4O11 after structural relaxation.

Unit cell a=9.2541 b=9.2827 c=10.8125 alpha=109.01 beta=108.30 gamma=90.84
With the nearest neighbours (Å) after each atom.
Space group P-1 (No. 2)
Inequivalent atoms, fractional coordinates:
Ni: 0.2324 0.2699 0.0049  6 O 2.03-2.24
Ni: 0.2534 0.7809 0.5171  6 O 2.00-2.19
P: 0.0896 0.9002 0.2552  4 O 1.48-1.65
P: 0.0933 0.2241 0.4118  4 O 1.47-1.60
P: 0.0942 0.4469 0.2561  4 O 1.48-1.64
P: 0.2361 0.5742 0.8897  4 O 1.47-1.61
P: 0.2643 0.9162 0.0593  4 O 1.47-1.60
P: 0.4117 0.1091 0.7831  4 O 1.48-1.65
P: 0.4345 0.2537 0.5755  4 O 1.48-1.59
P: 0.4369 0.5935 0.7288  4 O 1.48-1.64
O: 0.0287 0.7638 0.5271  1 P 1.47
O: 0.0608 0.1983 0.8165  1 P 1.48
O: 0.0709 0.0822 0.2749  2 P 1.58-1.65
O: 0.0848 0.5267 0.7578  2 P 1.58-1.64
O: 0.0902 0.3358 0.1194  1 P 1.49
O: 0.1316 0.3647 0.3732  2 P 1.56-1.63
O: 0.1814 0.8625 0.1448  2 P 1.56-1.63
O: 0.1939 0.5967 0.3282  1 P 1.48
O: 0.1960 0.9043 0.3916  1 P 1.48
O: 0.2005 0.0344 0.0025  1 P 1.47
O: 0.2420 0.5084 0.9978  1 P 1.47
O: 0.2518 0.2211 0.5254  2 P 1.59-1.60
O: 0.2608 0.7585 0.9395  2 P 1.60-1.61
O: 0.2925 0.9803 0.6828  1 P 1.48
O: 0.3119 0.6504 0.6392  1 P 1.48
O: 0.3652 0.5267 0.8236  2 P 1.57-1.64
O: 0.3850 0.2295 0.9009  1 P 1.49
O: 0.4126 0.3123 0.1838  1 P 1.48
O: 0.4371 0.9671 0.1541  2 P 1.57-1.63
O: 0.4738 0.4327 0.6329  2 P 1.56-1.63
O: 0.4851 0.1998 0.7043  2 P 1.57-1.65
O: 0.4933 0.8158 0.5301  1 P 1.48

**Volume**: 827 Å³ per cell
**VASP energy**: -6.885 eV/atom
**Energy above the most stable polymorph in this dataset**: 7 meV/atom
**Calculated density**: 2.88 g cm⁻³